1.
Density functional theory data (GGA-PBE) for crystalline Ce4Ga2I5 at its relaxed geometry.

Cell lengths 12.0834, 12.0834, 8.7379 Å; angles 90.21, 90.21, 20.45 degrees
Sites, in units of the cell vectors:
1 Ce 0.0132 0.0132 0.2130
2 Ce 0.3318 0.3318 0.9433
3 Ce 0.6682 0.6682 0.0567
4 Ce 0.9868 0.9868 0.7870
5 Ga 0.4491 0.4491 0.0197
6 Ga 0.5509 0.5509 0.9803
7 I 0.1452 0.1452 0.3216
8 I 0.2037 0.2037 0.8004
9 I 0.5000 0.5000 0.5000
10 I 0.7963 0.7963 0.1996
11 I 0.8548 0.8548 0.6784

## Properties
Its formation energy from raw total energies is -0.86 eV/atom. The space group is C2/m (12).


2.
Density functional theory data (GGA-PBE) for crystalline Ce7GaI12 at its relaxed geometry.

Cell lengths 10.0436, 10.0436, 10.0436 Å; angles 107.90, 107.90, 107.90 degrees
Sites, in units of the cell vectors:
1 Ce 0.0000 0.0000 0.0000
2 Ce 0.1748 0.3880 0.4601
3 Ce 0.3880 0.4601 0.1748
4 Ce 0.4601 0.1748 0.3880
5 Ce 0.5399 0.8252 0.6120
6 Ce 0.6120 0.5399 0.8252
7 Ce 0.8252 0.6120 0.5399
8 Ga 0.5000 0.5000 0.5000
9 I 0.0263 0.3468 0.1075
10 I 0.1075 0.0263 0.3468
11 I 0.1876 0.7300 0.5767
12 I 0.2700 0.4233 0.8124
13 I 0.3468 0.1075 0.0263
14 I 0.4233 0.8124 0.2700
15 I 0.5767 0.1876 0.7300
16 I 0.6532 0.8925 0.9737
17 I 0.7300 0.5767 0.1876
18 I 0.8124 0.2700 0.4233
19 I 0.8925 0.9737 0.6532
20 I 0.9737 0.6532 0.8925

## Properties
Its formation energy from raw total energies is -1.15 eV/atom. The space group is R-3 (148).


3.
Density functional theory data (GGA-PBE) for crystalline CeIn2GaI6 at its relaxed geometry.

Cell lengths 8.8759, 8.8759, 8.8759 Å; angles 57.58, 57.58, 57.58 degrees
Sites, in units of the cell vectors:
1 Ce 0.0000 0.0000 0.0000
2 In 0.3072 0.3072 0.3072
3 In 0.8010 0.8010 0.8010
4 Ga 0.5046 0.5046 0.5046
5 I 0.1326 0.3543 0.7418
6 I 0.2174 0.8796 0.6367
7 I 0.3543 0.7418 0.1326
8 I 0.6367 0.2174 0.8796
9 I 0.7418 0.1326 0.3543
10 I 0.8796 0.6367 0.2174

## Properties
Its formation energy from raw total energies is -0.78 eV/atom. The space group is R3 (146).


4.
Density functional theory data (GGA-PBE) for crystalline CeInGa2I6 at its relaxed geometry.

Cell lengths 8.9306, 8.9306, 8.9306 Å; angles 55.43, 55.43, 55.43 degrees
Sites, in units of the cell vectors:
1 Ce 0.0000 0.0000 0.0000
2 In 0.4927 0.4927 0.4927
3 Ga 0.1872 0.1872 0.1872
4 Ga 0.6810 0.6810 0.6810
5 I 0.0658 0.8064 0.3960
6 I 0.2611 0.6145 0.9081
7 I 0.3960 0.0658 0.8064
8 I 0.6145 0.9081 0.2611
9 I 0.8064 0.3960 0.0658
10 I 0.9081 0.2611 0.6145

## Properties
Its formation energy from raw total energies is -0.76 eV/atom. The space group is R3 (146).


5.
Density functional theory data (GGA-PBE) for crystalline K2CeGaI6 at its relaxed geometry.

Cell lengths 8.2927, 8.9438, 14.5449 Å; angles 90.00, 123.58, 90.00 degrees
Sites, in units of the cell vectors:
1 K 0.2077 0.0934 0.2459
2 K 0.2077 0.4066 0.7459
3 K 0.7923 0.5934 0.2541
4 K 0.7923 0.9066 0.7541
5 Ce 0.5000 0.0000 0.0000
6 Ce 0.5000 0.5000 0.5000
7 Ga 0.0000 0.0000 0.5000
8 Ga 0.0000 0.5000 0.0000
9 I 0.1299 0.1851 0.9393
10 I 0.1299 0.3149 0.4393
11 I 0.2606 0.6995 0.9363
12 I 0.2606 0.8005 0.4363
13 I 0.3832 0.0373 0.7549
14 I 0.3832 0.4627 0.2549
15 I 0.6168 0.5373 0.7451
16 I 0.6168 0.9627 0.2451
17 I 0.7394 0.1995 0.5637
18 I 0.7394 0.3005 0.0637
19 I 0.8701 0.6851 0.5607
20 I 0.8701 0.8149 0.0607

## Properties
Its formation energy from raw total energies is -1.21 eV/atom. The space group is P2_1/c (14).


6.
Density functional theory data (GGA-PBE) for crystalline KCeGa2I6 at its relaxed geometry.

Cell lengths 8.9653, 8.9653, 8.9653 Å; angles 55.49, 55.49, 55.49 degrees
Sites, in units of the cell vectors:
1 K 0.0000 0.0000 0.0000
2 Ce 0.4897 0.4897 0.4897
3 Ga 0.3023 0.3023 0.3023
4 Ga 0.8093 0.8093 0.8093
5 I 0.0914 0.4350 0.6737
6 I 0.2306 0.8762 0.5764
7 I 0.4350 0.6737 0.0914
8 I 0.5764 0.2306 0.8762
9 I 0.6737 0.0914 0.4350
10 I 0.8762 0.5764 0.2306

## Properties
Its formation energy from raw total energies is -0.97 eV/atom. The space group is R3 (146).


7.
Density functional theory data (GGA-PBE) for crystalline KCeGaI6 at its relaxed geometry.

Cell lengths 7.8106, 7.8106, 14.3560 Å; angles 90.00, 90.00, 90.00 degrees
Sites, in units of the cell vectors:
1 K 0.0000 0.0000 0.0000
2 K 0.5000 0.5000 0.5000
3 Ce 0.0000 0.0000 0.3352
4 Ce 0.5000 0.5000 0.8352
5 Ga 0.0000 0.0000 0.6646
6 Ga 0.5000 0.5000 0.1646
7 I 0.1803 0.1803 0.4973
8 I 0.2023 0.2023 0.1914
9 I 0.2252 0.2252 0.8258
10 I 0.2748 0.7252 0.3258
11 I 0.2977 0.7023 0.6914
12 I 0.3197 0.6803 0.9973
13 I 0.6803 0.3197 0.9973
14 I 0.7023 0.2977 0.6914
15 I 0.7252 0.2748 0.3258
16 I 0.7748 0.7748 0.8258
17 I 0.7977 0.7977 0.1914
18 I 0.8197 0.8197 0.4973

## Properties
Its formation energy from raw total energies is -1.04 eV/atom. The space group is P4_2nm (102).


8.
Density functional theory data (GGA-PBE) for crystalline Rb2CeGaI6 at its relaxed geometry.

Cell lengths 8.4947, 9.0330, 14.8593 Å; angles 90.00, 124.11, 90.00 degrees
Sites, in units of the cell vectors:
1 Rb 0.2170 0.0825 0.2479
2 Rb 0.2170 0.4175 0.7479
3 Rb 0.7830 0.5825 0.2521
4 Rb 0.7830 0.9175 0.7521
5 Ce 0.5000 0.0000 0.0000
6 Ce 0.5000 0.5000 0.5000
7 Ga 0.0000 0.0000 0.5000
8 Ga 0.0000 0.5000 0.0000
9 I 0.1464 0.1903 0.9482
10 I 0.1464 0.3097 0.4482
11 I 0.2627 0.7052 0.9471
12 I 0.2627 0.7948 0.4471
13 I 0.3615 0.0249 0.7548
14 I 0.3615 0.4751 0.2548
15 I 0.6385 0.5249 0.7452
16 I 0.6385 0.9751 0.2452
17 I 0.7373 0.2052 0.5529
18 I 0.7373 0.2948 0.0529
19 I 0.8536 0.6903 0.5518
20 I 0.8536 0.8097 0.0518

## Properties
Its formation energy from raw total energies is -1.22 eV/atom. The space group is P2_1/c (14).


9.
Density functional theory data (GGA-PBE) for crystalline Ce2In3Ga at its relaxed geometry.

Cell lengths 3.5755, 4.9453, 8.6112 Å; angles 90.00, 90.00, 90.00 degrees
Sites, in units of the cell vectors:
1 Ce 0.0000 0.0000 0.0000
2 Ce 0.0000 0.5000 0.4820
3 In 0.5000 0.0000 0.6485
4 In 0.5000 0.5000 0.1630
5 In 0.5000 0.5000 0.8232
6 Ga 0.5000 0.0000 0.3222

## Properties
The value obtained for the energy of formation from the pure elements is -0.384 eV per atom. The space group is Pmm2 (25).


10.
Density functional theory data (GGA-PBE) for crystalline Ce4InGa at its relaxed geometry.

Cell lengths 7.8565, 7.8565, 5.6402 Å; angles 101.54, 101.54, 109.73 degrees
Sites, in units of the cell vectors:
1 Ce 0.0696 0.6847 0.8346
2 Ce 0.1815 0.3923 0.6295
3 Ce 0.3153 0.9304 0.6654
4 Ce 0.3923 0.1815 0.1295
5 Ce 0.6077 0.8185 0.8705
6 Ce 0.6847 0.0696 0.3346
7 Ce 0.8185 0.6077 0.3705
8 Ce 0.9304 0.3153 0.1654
9 In 0.3839 0.6161 0.2500
10 In 0.6161 0.3839 0.7500
11 Ga 0.0218 0.9782 0.2500
12 Ga 0.9782 0.0218 0.7500

## Properties
The value obtained for the energy of formation from the pure elements is -0.291 eV per atom. The energy relative to the lowest polymorph listed for this composition is 0.0 meV/atom. The space group is C2/c (15).


11.
Density functional theory data (GGA-PBE) for crystalline Ce4InGa2 at its relaxed geometry.

Cell lengths 7.2844, 7.2844, 7.2844 Å; angles 133.00, 133.00, 68.65 degrees
Sites, in units of the cell vectors:
1 Ce 0.0000 0.5000 0.5000
2 Ce 0.2500 0.7500 0.5000
3 Ce 0.5000 0.0000 0.5000
4 Ce 0.7500 0.2500 0.5000
5 In 0.0000 0.0000 0.0000
6 Ga 0.3822 0.3822 0.0000
7 Ga 0.6178 0.6178 0.0000

## Properties
The value obtained for the energy of formation from the pure elements is 0.072 eV per atom. The energy relative to the lowest polymorph listed for this composition is 230.4 meV/atom. The space group is I4/mmm (139).


12.
Density functional theory data (GGA-PBE) for crystalline Ce5In2Ga at its relaxed geometry.

Cell lengths 6.6925, 13.6560, 4.6079 Å; angles 90.00, 90.00, 90.00 degrees
Sites, in units of the cell vectors:
1 Ce 0.0000 0.0000 0.0000
2 Ce 0.0309 0.2767 0.0000
3 Ce 0.2258 0.3741 0.5000
4 Ce 0.2742 0.8741 0.5000
5 Ce 0.4691 0.7767 0.0000
6 Ce 0.5000 0.5000 0.0000
7 Ce 0.5309 0.2233 0.0000
8 Ce 0.7258 0.1259 0.5000
9 Ce 0.7742 0.6259 0.5000
10 Ce 0.9691 0.7233 0.0000
11 In 0.2327 0.1250 0.5000
12 In 0.2673 0.6250 0.5000
13 In 0.7327 0.3750 0.5000
14 In 0.7673 0.8750 0.5000
15 Ga 0.0000 0.5000 0.0000
16 Ga 0.5000 0.0000 0.0000

## Properties
The value obtained for the energy of formation from the pure elements is -0.268 eV per atom. The energy relative to the lowest polymorph listed for this composition is 8.2 meV/atom. The space group is Pbam (55).